A plane-wave DFT calculation with GGA-PBE was carried out for a relaxed AcPm3Nd2Te6 crystal.

abc: 10.1088 10.1088 9.1005
angles: 103.12 103.12 25.74
Closest atoms and distances in Å follow each position.
Sites, in units of the cell vectors:
Ac: 0.0000 0.0000 0.0000  6 Te 3.27-3.29
Pm: 0.0000 0.0000 0.5000  6 Te 3.13-3.17
Pm: 0.3356 0.3356 0.1719  6 Te 3.14-3.21
Pm: 0.6644 0.6644 0.8281  6 Te 3.14-3.21
Nd: 0.3308 0.3308 0.6625  6 Te 3.17-3.24
Nd: 0.6692 0.6692 0.3375  6 Te 3.17-3.24
Te: 0.1653 0.1653 0.5839  3 Pm 3.17, 3 Nd 3.17-3.19
Te: 0.1717 0.1717 0.0834  3 Pm 3.14-3.21, 2 Nd 3.24, 1 Ac 3.29
Te: 0.4983 0.4983 0.7380  3 Pm 3.13-3.18, 1 Nd 3.21, 2 Ac 3.27
Te: 0.5017 0.5017 0.2620  3 Pm 3.13-3.18, 1 Nd 3.21, 2 Ac 3.27
Te: 0.8283 0.8283 0.9166  3 Pm 3.14-3.21, 2 Nd 3.24, 1 Ac 3.29
Te: 0.8347 0.8347 0.4161  3 Pm 3.17, 3 Nd 3.17-3.19

Results
Formation energy (no corrections) (eV/atom): -1.421
Mass density (g/cm3): 7.26

A plane-wave DFT calculation with GGA-PBE was carried out for a relaxed TeOs2Cl crystal.

abc: 4.5828 4.5828 15.0832
angles: 90.00 90.00 90.00
Closest atoms and distances in Å follow each position.
Sites, in units of the cell vectors:
Te: 0.0000 0.0000 0.0000  4 Os 2.73
Te: 0.0000 0.5000 0.2500  4 Os 2.73
Te: 0.5000 0.0000 0.7500  4 Os 2.73
Te: 0.5000 0.5000 0.5000  4 Os 2.73
Os: 0.1493 0.2500 0.6250  2 Cl 2.31
Os: 0.2500 0.6493 0.8750  2 Cl 2.31
Os: 0.2500 0.8507 0.3750  2 Cl 2.31
Os: 0.3507 0.2500 0.1250  2 Cl 2.31
Os: 0.6493 0.7500 0.1250  2 Cl 2.31
Os: 0.7500 0.1493 0.3750  2 Cl 2.31
Os: 0.7500 0.3507 0.8750  2 Cl 2.31
Os: 0.8507 0.7500 0.6250  2 Cl 2.31
Cl: 0.0000 0.0000 0.5000  4 Os 2.31
Cl: 0.0000 0.5000 0.7500  4 Os 2.31
Cl: 0.5000 0.0000 0.2500  4 Os 2.31
Cl: 0.5000 0.5000 0.0000  4 Os 2.31

Results
Relative energy among the computed polymorphs (eV per atom): 0.749
Formation energy (no corrections) (eV/atom): 0.970
Mass density (g/cm3): 11.40

Which formula does entry 1 have? AcPm3Nd2Te6

Repeat the second record exactly.
A plane-wave DFT calculation with GGA-PBE was carried out for a relaxed TeOs2Cl crystal.

abc: 4.5828 4.5828 15.0832
angles: 90.00 90.00 90.00
Closest atoms and distances in Å follow each position.
Sites, in units of the cell vectors:
Te: 0.0000 0.0000 0.0000  4 Os 2.73
Te: 0.0000 0.5000 0.2500  4 Os 2.73
Te: 0.5000 0.0000 0.7500  4 Os 2.73
Te: 0.5000 0.5000 0.5000  4 Os 2.73
Os: 0.1493 0.2500 0.6250  2 Cl 2.31
Os: 0.2500 0.6493 0.8750  2 Cl 2.31
Os: 0.2500 0.8507 0.3750  2 Cl 2.31
Os: 0.3507 0.2500 0.1250  2 Cl 2.31
Os: 0.6493 0.7500 0.1250  2 Cl 2.31
Os: 0.7500 0.1493 0.3750  2 Cl 2.31
Os: 0.7500 0.3507 0.8750  2 Cl 2.31
Os: 0.8507 0.7500 0.6250  2 Cl 2.31
Cl: 0.0000 0.0000 0.5000  4 Os 2.31
Cl: 0.0000 0.5000 0.7500  4 Os 2.31
Cl: 0.5000 0.0000 0.2500  4 Os 2.31
Cl: 0.5000 0.5000 0.0000  4 Os 2.31

Results
Relative energy among the computed polymorphs (eV per atom): 0.749
Formation energy (no corrections) (eV/atom): 0.970
Mass density (g/cm3): 11.40

Which value of mass density does entry 2 give? 11.40 g/cm3